Record 1
Here is a relaxed structure of TiRhIN2 from Alexandria. Energies are from GGA-PBE.

The crystal system is tetragonal. The excess energy over the best structure of this formula in the dataset comes out at 0.00 eV per formula unit. As for the total energy: -6.05 eV per atom. As for the formation energy without anion corrections: 0.64 eV per atom.

It has space group P4/mmm (No. 123), with a = 3.840 Å, b = 3.840 Å, c = 6.069 Å, α = 90.00°, β = 90.00° and γ = 90.00°. The distinct sites, in fractional coordinates, are Ti at (0.000, 0.000, 0.000), Rh at (0.000, 0.000, 0.500), I at (0.500, 0.500, 0.500) and N at (0.000, 0.500, 0.000).


Record 2
Here is a relaxed structure of Tb2NdDyTm from Alexandria. Energies are from GGA-PBE.

The crystal system is orthorhombic. As for the total energy: -4.23 eV per atom.

It has space group Cmcm (No. 63), with a = 8.400 Å, b = 11.477 Å, c = 7.199 Å, α = 90.00°, β = 90.00° and γ = 90.00°. The distinct sites, in fractional coordinates, are Tb at (0.190, 0.000, 0.000), Nd at (0.000, 0.227, 0.250), Dy at (0.000, 0.497, 0.250) and Tm at (0.000, 0.224, 0.750).


Record 3
Here is a relaxed structure of Ho2ScPaSe4 from Alexandria. Energies are from GGA-PBE.

The crystal system is monoclinic. As for the total energy: -6.40 eV per atom. As for the formation energy without anion corrections: -1.53 eV per atom.

It has space group P2/m (No. 10), with a = 6.944 Å, b = 3.973 Å, c = 7.026 Å, α = 90.00°, β = 108.80° and γ = 90.00°. The distinct sites, in fractional coordinates, are Ho at (0.000, 0.000, 0.000), Ho at (0.000, 0.500, 0.500), Sc at (0.500, 0.000, 0.500), Pa at (0.500, 0.500, 0.000), Se at (0.250, 0.000, 0.741) and Se at (0.258, 0.500, 0.261).


Record 4
Here is a relaxed structure of CaSnOs2 from Alexandria. Energies are from GGA-PBE.

The crystal system is tetragonal. As for the total energy: -6.13 eV per atom.

It has space group I-42d (No. 122), with a = 7.805 Å, b = 7.805 Å, c = 5.515 Å, α = 90.00°, β = 90.00° and γ = 90.00°. The distinct sites, in fractional coordinates, are Ca at (0.000, 0.000, 0.000), Sn at (0.000, 0.000, 0.500) and Os at (0.206, 0.250, 0.625).


Record 5
Here is a relaxed structure of Mg2AlGe from Alexandria. Energies are from GGA-PBE.

The crystal system is tetragonal. As for the total energy: -2.89 eV per atom.

It has space group P4/mmm (No. 123), with a = 3.565 Å, b = 3.565 Å, c = 6.158 Å, α = 90.00°, β = 90.00° and γ = 90.00°. The distinct sites, in fractional coordinates, are Mg at (0.000, 0.000, 0.246), Al at (0.500, 0.500, 0.500) and Ge at (0.500, 0.500, 0.000).


Record 6
Here is a relaxed structure of In3NiMo from Alexandria. Energies are from GGA-PBE.

The crystal system is cubic. The excess energy over the best structure of this formula in the dataset comes out at 0.00 eV per formula unit. As for the total energy: -4.26 eV per atom.

It has space group Pm-3m (No. 221), with a = 4.870 Å, b = 4.870 Å, c = 4.870 Å, α = 90.00°, β = 90.00° and γ = 90.00°. The distinct sites, in fractional coordinates, are In at (0.000, 0.000, 0.500), Ni at (0.000, 0.000, 0.000) and Mo at (0.500, 0.500, 0.500).


Record 7
Here is a relaxed structure of MgSi2PC from Alexandria. Energies are from GGA-PBE.

The crystal system is tetragonal. As for the total energy: -4.62 eV per atom. As for the formation energy without anion corrections: 0.80 eV per atom.

It has space group P4/mmm (No. 123), with a = 3.913 Å, b = 3.913 Å, c = 4.855 Å, α = 90.00°, β = 90.00° and γ = 90.00°. The distinct sites, in fractional coordinates, are Mg at (0.000, 0.000, 0.000), Si at (0.000, 0.500, 0.500), P at (0.500, 0.500, 0.000) and C at (0.500, 0.500, 0.500).


Record 8
Here is a relaxed structure of VGa2Tc2 from Alexandria. Energies are from GGA-PBE.

The crystal system is tetragonal. The excess energy over the best structure of this formula in the dataset comes out at 0.56 eV per formula unit. As for the total energy: -7.10 eV per atom.

It has space group P4/mbm (No. 127), with a = 6.705 Å, b = 6.705 Å, c = 3.383 Å, α = 90.00°, β = 90.00° and γ = 90.00°. The distinct sites, in fractional coordinates, are V at (0.000, 0.000, 0.000), Ga at (0.150, 0.350, 0.500) and Tc at (0.151, 0.651, 0.000).


Record 9
Here is a relaxed structure of Tb3Ho2ThTe6 from Alexandria. Energies are from GGA-PBE.

The crystal system is monoclinic. As for the total energy: -5.34 eV per atom. As for the formation energy without anion corrections: -1.23 eV per atom.

It has space group C2/m (No. 12), with a = 18.868 Å, b = 4.283 Å, c = 8.953 Å, α = 90.00°, β = 99.53° and γ = 90.00°. The distinct sites, in fractional coordinates, are Tb at (0.000, 0.000, 0.000), Tb at (0.154, 0.500, 0.348), Ho at (0.166, 0.500, 0.843), Th at (0.000, 0.000, 0.500), Te at (0.006, 0.500, 0.762), Te at (0.168, 0.000, 0.095) and Te at (0.175, 0.000, 0.602).


Record 10
Here is a relaxed structure of PrInPd from Alexandria. Energies are from GGA-PBE.

The crystal system is tetragonal. As for the total energy: -4.79 eV per atom.

It has space group I4mm (No. 107), with a = 3.527 Å, b = 3.527 Å, c = 11.412 Å, α = 90.00°, β = 90.00° and γ = 90.00°. The distinct sites, in fractional coordinates, are Pr at (0.000, 0.000, 0.000), In at (0.000, 0.000, 0.297) and Pd at (0.000, 0.000, 0.676).


Record 11
Here is a relaxed structure of ZrZn5 from Alexandria. Energies are from GGA-PBE.

The crystal system is tetragonal. As for the total energy: -2.59 eV per atom.

It has space group P4/mmm (No. 123), with a = 3.153 Å, b = 3.153 Å, c = 9.746 Å, α = 90.00°, β = 90.00° and γ = 90.00°. The distinct sites, in fractional coordinates, are Zr at (0.000, 0.000, 0.000), Zn at (0.000, 0.000, 0.344), Zn at (0.500, 0.500, 0.195) and Zn at (0.500, 0.500, 0.500).


Record 12
Here is a relaxed structure of Y2Al2PdPt5 from Alexandria. Energies are from GGA-PBE.

The crystal system is tetragonal. As for the total energy: -6.51 eV per atom.

It has space group P4/mbm (No. 127), with a = 9.685 Å, b = 9.685 Å, c = 3.747 Å, α = 90.00°, β = 90.00° and γ = 90.00°. The distinct sites, in fractional coordinates, are Y at (0.178, 0.322, 0.000), Al at (0.121, 0.621, 0.000), Pd at (0.000, 0.000, 0.000), Pt at (0.000, 0.500, 0.500) and Pt at (0.066, 0.794, 0.500).


Record 13
Here is a relaxed structure of Nd3ScGa3 from Alexandria. Energies are from GGA-PBE.

The crystal system is monoclinic. As for the total energy: -4.59 eV per atom.

It has space group C2/m (No. 12), with a = 9.075 Å, b = 11.365 Å, c = 7.386 Å, α = 90.00°, β = 91.43° and γ = 90.00°. The distinct sites, in fractional coordinates, are Nd at (0.000, 0.147, 0.000), Nd at (0.000, 0.252, 0.500), Nd at (0.147, 0.500, 0.839), Sc at (0.239, 0.500, 0.351), Ga at (0.065, 0.000, 0.346) and Ga at (0.228, 0.288, 0.184).


Record 14
Here is a relaxed structure of SmYMg5 from Alexandria. Energies are from GGA-PBE.

The crystal system is monoclinic. As for the total energy: -2.64 eV per atom.

It has space group C2/m (No. 12), with a = 6.377 Å, b = 9.687 Å, c = 6.659 Å, α = 90.00°, β = 109.70° and γ = 90.00°. The distinct sites, in fractional coordinates, are Sm at (0.000, 0.000, 0.000), Y at (0.000, 0.500, 0.500), Mg at (0.000, 0.000, 0.500) and Mg at (0.203, 0.288, 0.226).


Record 15
Here is a relaxed structure of Y2MnAs from Alexandria. Energies are from GGA-PBE.

The crystal system is tetragonal. As for the total energy: -6.99 eV per atom.

It has space group P4mm (No. 99), with a = 4.096 Å, b = 4.096 Å, c = 5.855 Å, α = 90.00°, β = 90.00° and γ = 90.00°. The distinct sites, in fractional coordinates, are Y at (0.000, 0.000, 0.000), Y at (0.500, 0.500, 0.396), Mn at (0.500, 0.500, 0.901) and As at (0.000, 0.000, 0.500).


Record 16
Here is a relaxed structure of AlRe3Pt from Alexandria. Energies are from GGA-PBE.

The crystal system is cubic. The excess energy over the best structure of this formula in the dataset comes out at 3.28 eV per formula unit. As for the total energy: -7.06 eV per atom.

It has space group Pm-3m (No. 221), with a = 4.740 Å, b = 4.740 Å, c = 4.740 Å, α = 90.00°, β = 90.00° and γ = 90.00°. The distinct sites, in fractional coordinates, are Al at (0.000, 0.000, 0.000), Re at (0.000, 0.500, 0.500) and Pt at (0.500, 0.500, 0.500).


Record 17
Here is a relaxed structure of Y2TiSI from Alexandria. Energies are from GGA-PBE.

The crystal system is tetragonal. As for the total energy: -5.14 eV per atom. As for the formation energy without anion corrections: 0.16 eV per atom.

It has space group P4/mmm (No. 123), with a = 5.464 Å, b = 5.464 Å, c = 4.958 Å, α = 90.00°, β = 90.00° and γ = 90.00°. The distinct sites, in fractional coordinates, are Y at (0.000, 0.500, 0.000), Ti at (0.000, 0.000, 0.000), S at (0.500, 0.500, 0.500) and I at (0.000, 0.000, 0.500).


Record 18
Here is a relaxed structure of Na2VC from Alexandria. Energies are from GGA-PBE.

The crystal system is tetragonal. As for the total energy: -4.40 eV per atom.

It has space group I-42d (No. 122), with a = 10.388 Å, b = 10.388 Å, c = 3.885 Å, α = 90.00°, β = 90.00° and γ = 90.00°. The distinct sites, in fractional coordinates, are Na at (0.048, 0.250, 0.125), V at (0.000, 0.000, 0.500) and C at (0.000, 0.000, 0.000).


Record 19
Here is a relaxed structure of BaPtBr from Alexandria. Energies are from GGA-PBE.

The crystal system is cubic. The excess energy over the best structure of this formula in the dataset comes out at 2.66 eV per formula unit. As for the total energy: -3.71 eV per atom. As for the formation energy without anion corrections: -0.50 eV per atom.

It has space group F-43m (No. 216), with a = 7.643 Å, b = 7.643 Å, c = 7.643 Å, α = 90.00°, β = 90.00° and γ = 90.00°. The distinct sites, in fractional coordinates, are Ba at (0.000, 0.000, 0.000), Pt at (0.250, 0.250, 0.750) and Br at (0.250, 0.250, 0.250).


Record 20
Here is a relaxed structure of ErZn2Cd from Alexandria. Energies are from GGA-PBE.

The crystal system is tetragonal. As for the total energy: -2.17 eV per atom.

It has space group P4/mmm (No. 123), with a = 3.381 Å, b = 3.381 Å, c = 7.095 Å, α = 90.00°, β = 90.00° and γ = 90.00°. The distinct sites, in fractional coordinates, are Er at (0.000, 0.000, 0.000), Zn at (0.500, 0.500, 0.266) and Cd at (0.000, 0.000, 0.500).


Record 21
Here is a relaxed structure of Fe2WBr from Alexandria. Energies are from GGA-PBE.

The crystal system is orthorhombic. The excess energy over the best structure of this formula in the dataset comes out at 1.74 eV per formula unit. As for the total energy: -6.98 eV per atom. As for the formation energy without anion corrections: 0.91 eV per atom.

It has space group Imm2 (No. 44), with a = 2.981 Å, b = 4.482 Å, c = 8.844 Å, α = 90.00°, β = 90.00° and γ = 90.00°. The distinct sites, in fractional coordinates, are Fe at (0.000, 0.000, 0.000), Fe at (0.000, 0.500, 0.274), W at (0.000, 0.500, 0.764) and Br at (0.000, 0.000, 0.520).


Record 22
Here is a relaxed structure of CaCoPt3 from Alexandria. Energies are from GGA-PBE.

The crystal system is cubic. The excess energy over the best structure of this formula in the dataset comes out at 0.00 eV per formula unit. As for the total energy: -5.37 eV per atom.

It has space group Pm-3m (No. 221), with a = 4.656 Å, b = 4.656 Å, c = 4.656 Å, α = 90.00°, β = 90.00° and γ = 90.00°. The distinct sites, in fractional coordinates, are Ca at (0.000, 0.000, 0.000), Co at (0.500, 0.500, 0.500) and Pt at (0.000, 0.500, 0.500).